[1]
Material: YTcW2
Method: DFT, PBE-GGA
State: relaxed

Geometry as CIF:
```
data_YTcW2
_chemical_formula_sum 'Y2 Tc2 W4'
_cell_length_a 3.8733
_cell_length_b 3.8733
_cell_length_c 9.7102
_cell_angle_alpha 90.00
_cell_angle_beta 90.00
_cell_angle_gamma 90.00
_symmetry_space_group_name_H-M 'I 4/m m m'
_symmetry_Int_Tables_number 139
_symmetry_space_group_name_Hall '-I 4 2'
loop_
_atom_site_label
_atom_site_type_symbol
_atom_site_fract_x
_atom_site_fract_y
_atom_site_fract_z
Y1 Y 0.0000 0.0000 0.0000
Tc1 Tc 0.0000 0.0000 0.5000
W1 W 0.0000 0.5000 0.2500
```

ΔE_f (eV per atom): 0.558
Magnetization (μB/cell): 0.00
Crystal system: tetragonal
Density (g/cm3): 12.64
E above lowest polymorph (meV/atom): 327
Final energy (eV per cell): -81.0
DOS(E_F) (states/eV per atom): 0.71

---

[2]
Material: YTcW2
Method: DFT, PBE-GGA
State: relaxed

Geometry as CIF:
```
data_YTcW2
_chemical_formula_sum 'Y2 Tc2 W4'
_cell_length_a 5.4252
_cell_length_b 9.6626
_cell_length_c 2.7530
_cell_angle_alpha 90.00
_cell_angle_beta 90.00
_cell_angle_gamma 90.00
_symmetry_space_group_name_H-M 'C m m m'
_symmetry_Int_Tables_number 65
_symmetry_space_group_name_Hall '-C 2 2'
loop_
_atom_site_label
_atom_site_type_symbol
_atom_site_fract_x
_atom_site_fract_y
_atom_site_fract_z
Y1 Y 0.0000 0.0000 0.0000
Tc1 Tc 0.0000 0.5000 0.0000
W1 W 0.2500 0.2500 0.5000
```

ΔE_f (eV per atom): 0.619
Magnetization (μB/cell): 0.00
Crystal system: orthorhombic
Density (g/cm3): 12.76
E above lowest polymorph (meV/atom): 388
Final energy (eV per cell): -80.5
DOS(E_F) (states/eV per atom): 0.97